# 1
## Pr7HgRh4 (GGA-PBE)

Data for an optimized crystal structure of Pr7HgRh4.

The structure in POSCAR format:
```
Pr7HgRh4
1.0
6.949 -2.906 0.000
6.949 2.906 0.000
-5.669 0.000 8.088
Pr Hg Rh
7 1 4
Direct
0.000 0.000 0.000
0.174 0.174 0.621
0.294 0.294 0.115
0.422 0.422 0.626
0.578 0.578 0.374
0.706 0.706 0.885
0.826 0.826 0.379
0.500 0.500 0.000
0.065 0.065 0.776
0.205 0.205 0.338
0.795 0.795 0.662
0.935 0.935 0.224
```

Summary:
formation energy from the elements	-0.36	eV per atom
uncorrected energy	-67.5	eV for the cell shown
crystal system	monoclinic
magnetic moment	0.00	μB/f.u.

***

# 2
## InGaAg (GGA-PBE)

Data for an optimized crystal structure of InGaAg.

The structure in POSCAR format:
```
InGaAg
1.0
-1.557 1.557 6.390
1.557 -1.557 6.390
1.557 1.557 -6.390
In Ga Ag
1 1 1
Direct
0.000 0.000 0.000
0.318 0.318 0.000
0.672 0.672 0.000
```

Summary:
formation energy from the elements	0.04	eV per atom
uncorrected energy	-8.5	eV for the cell shown
crystal system	tetragonal
magnetic moment	0.00	μB/f.u.

***

# 3
## Sr2SnSb3Au4 (GGA-PBE)

Data for an optimized crystal structure of Sr2SnSb3Au4.

The structure in POSCAR format:
```
Sr2SnSb3Au4
1.0
4.758 0.000 0.000
0.000 4.758 0.000
0.000 0.000 11.624
Sr Sn Sb Au
2 1 3 4
Direct
0.000 0.500 0.235
0.500 0.000 0.765
0.000 0.000 0.500
0.000 0.500 0.870
0.500 0.000 0.130
0.500 0.500 0.500
0.000 0.000 0.000
0.000 0.500 0.639
0.500 0.000 0.361
0.500 0.500 0.000
```

Summary:
uncorrected energy	-38.3	eV for the cell shown
crystal system	tetragonal
formation energy from raw total energies	-0.55	eV/atom
magnetic moment	0.00	μB/f.u.

***

# 4
## Ac2AlTl3 (GGA-PBE)

Data for an optimized crystal structure of Ac2AlTl3.

The structure in POSCAR format:
```
Ac2AlTl3
1.0
4.662 0.000 0.000
0.000 4.846 0.000
0.000 0.000 8.471
Ac Al Tl
2 1 3
Direct
0.000 0.000 0.000
0.000 0.500 0.489
0.500 0.000 0.322
0.500 0.000 0.642
0.500 0.500 0.176
0.500 0.500 0.831
```

Summary:
formation energy from the elements	-0.26	eV per atom
relative energy among the computed polymorphs	45	meV per atom
uncorrected energy	-20.6	eV for the cell shown
crystal system	orthorhombic
magnetic moment	0.00	μB/f.u.

***

# 5
## Tb6PmPr2Dy3 (GGA-PBE)

Data for an optimized crystal structure of Tb6PmPr2Dy3.

The structure in POSCAR format:
```
Tb6PmPr2Dy3
1.0
3.111 -5.386 0.000
3.111 5.386 0.000
-2.067 0.000 11.702
Tb Pm Pr Dy
6 1 2 3
Direct
0.085 0.418 0.754
0.248 0.248 0.246
0.418 0.085 0.754
0.582 0.915 0.246
0.752 0.752 0.754
0.915 0.582 0.246
0.000 0.000 0.500
0.333 0.667 0.500
0.667 0.333 0.500
0.167 0.833 0.000
0.500 0.500 0.000
0.833 0.167 0.000
```

Summary:
formation energy from the elements	0.02	eV per atom
uncorrected energy	-55.7	eV for the cell shown
crystal system	monoclinic
magnetic moment	0.00	μB/f.u.

***

# 6
## La4Sc2O (GGA-PBE)

Data for an optimized crystal structure of La4Sc2O.

The structure in POSCAR format:
```
La4Sc2O
1.0
-2.517 2.517 8.471
2.517 -2.517 8.471
2.517 2.517 -8.471
La Sc O
4 2 1
Direct
0.000 0.500 0.500
0.149 0.149 0.000
0.500 0.000 0.500
0.851 0.851 0.000
0.361 0.361 0.000
0.639 0.639 0.000
0.000 0.000 0.000
```

Summary:
uncorrected energy	-41.3	eV for the cell shown
crystal system	tetragonal
formation energy from raw total energies	-0.57	eV/atom
magnetic moment	0.00	μB/f.u.